Pm2GaPt7 | GGA-PBE | relaxed

The calculation puts the formation energy at -0.71 eV per atom. Its density of states at the Fermi level is 0.803 states/eV/atom. The value obtained for the calculated volume is 196.6 Å³ per cell. The electronic total energy comes out at -61.9 eV for the cell shown.

It has space group P-4m2 (No. 115), with a = 3.9632 Å, b = 3.9632 Å, c = 12.5187 Å, α = 90.00°, β = 90.00° and γ = 90.00°. The asymmetric unit holds Pm at (0.0000, 0.5000, 0.2338), Ga at (0.0000, 0.0000, 0.5000), Pt at (0.0000, 0.0000, 0.0000), Pt at (0.0000, 0.5000, 0.6430), Pt at (0.0000, 0.5000, 0.8482), Pt at (0.5000, 0.5000, 0.0000) and Pt at (0.5000, 0.5000, 0.5000).